[1]
The following is a GGA-PBE calculation of an optimized crystal structure of LaHfAlN2, from Alexandria.

Properties
The value obtained for the raw total energy is -6.069 eV per atom. The calculation puts the magnetization at 0.0 μB/cell. The energy relative to the elements, uncorrected comes out at 0.985 eV/atom.

Unit cell a=4.148 b=4.148 c=4.941 alpha=90.00 beta=90.00 gamma=90.00
Space group P4/mmm (No. 123)
Symmetry-distinct sites (fractional):
La1 0.000 0.000 0.000 [1 per cell]
Hf1 0.500 0.500 0.000 [1 per cell]
Al1 0.500 0.500 0.500 [1 per cell]
N1 0.000 0.500 0.500 [2 per cell]

=====

[2]
The following is a GGA-PBE calculation of an optimized crystal structure of Pr4TlIn2Ga, from Alexandria.

Properties
The value obtained for the raw total energy is -4.218 eV per atom. The calculation puts the magnetization at 0.0 μB/cell. The formation enthalpy at 0 K is -0.469 eV/atom.

Unit cell a=5.4751 b=5.4751 c=26.7874 alpha=90.00 beta=90.00 gamma=120.00
Space group R-3m (No. 166, hexagonal axes)
Symmetry-distinct sites (fractional):
Pr1 0.0000 0.0000 0.1209 [6 per cell]
Pr2 0.0000 0.0000 0.3714 [6 per cell]
Tl1 0.0000 0.0000 0.5000 [3 per cell]
In1 0.0000 0.0000 0.2474 [6 per cell]
Ga1 0.0000 0.0000 0.0000 [3 per cell]

=====

[3]
The following is a GGA-PBE calculation of an optimized crystal structure of U2Ni4S5, from Alexandria.

Properties
The value obtained for the raw total energy is -6.806 eV per atom. The calculation puts the magnetization at 12.1 μB/cell. The energy relative to the elements, uncorrected comes out at -0.776 eV/atom.

Unit cell a=3.6801 b=3.6801 c=46.7716 alpha=90.00 beta=90.00 gamma=120.00
Space group R-3m (No. 166, hexagonal axes)
Symmetry-distinct sites (fractional):
U1 0.0000 0.0000 0.1300 [6 per cell]
Ni1 0.0000 0.0000 0.3175 [6 per cell]
Ni2 0.0000 0.0000 0.4141 [6 per cell]
S1 0.0000 0.0000 0.2401 [6 per cell]
S2 0.0000 0.0000 0.3660 [6 per cell]
S3 0.0000 0.0000 0.5000 [3 per cell]